Computed, not measured: crystalline SrSm2WO8 at its relaxed geometry at the PBE+U level of DFT.

abc: 4.2694 5.4399 7.0552
angles: 90.64 107.44 90.24
Fractional positions:
Sr  0.0000  0.0000  0.0000
Sm  0.3735  0.4882  0.7039
Sm  0.6265  0.5118  0.2961
W  0.0000  0.0000  0.5000
O  0.1736  0.5026  0.9988
O  0.1831  0.2456  0.3674
O  0.1948  0.7160  0.4043
O  0.3531  0.0403  0.7533
O  0.6469  0.9597  0.2467
O  0.8052  0.2840  0.5957
O  0.8169  0.7544  0.6326
O  0.8264  0.4974  0.0012

## Properties
Its calculated total energy is -88.9 eV/cell. As for the total magnetization: 0.000 μB per atom. For the density of states at the Fermi level, the calculation gives 0.00 states/eV/f.u.